The following is a PBE calculation of crystalline InPbS2 at its relaxed geometry, from Alexandria.

POSCAR file:
```
InPbS2
1.0
3.912 0.000 0.000
0.000 5.960 -2.078
0.000 -0.015 8.371
Pb S In
2 4 2
direct
0.250 0.289 0.198
0.750 0.711 0.802
0.750 0.189 0.906
0.750 0.230 0.455
0.250 0.770 0.545
0.250 0.811 0.094
0.250 0.208 0.683
0.750 0.792 0.317
```

formation energy (no corrections): -0.39 eV per atom
calculated volume: 195.0 Å³ per cell
D(E_F): 2.868 states/eV per cell
total magnetization: 0.00 μB/f.u.

---

The following is a PBE calculation of crystalline In6PbS8 at its relaxed geometry, from Alexandria.

POSCAR file:
```
In6PbS8
1.0
7.299 0.007 0.008
-0.220 7.295 0.008
-0.220 -0.227 7.292
In S Pb
6 8 1
direct
0.380 0.610 0.126
0.126 0.380 0.610
0.390 0.874 0.620
0.610 0.126 0.380
0.874 0.620 0.390
0.620 0.390 0.874
0.821 0.323 0.172
0.828 0.179 0.677
0.675 0.675 0.675
0.179 0.677 0.828
0.323 0.172 0.821
0.172 0.821 0.323
0.677 0.828 0.179
0.325 0.325 0.325
0.000 0.000 0.000
```

formation energy (no corrections): -0.38 eV per atom
calculated volume: 388.3 Å³ per cell
D(E_F): 10.928 states/eV per cell
total magnetization: 0.00 μB/f.u.

---

The following is a PBE calculation of crystalline In2PbS at its relaxed geometry, from Alexandria.

POSCAR file:
```
In2PbS
1.0
-2.966 1.597 1.148
-1.032 -3.032 1.552
3.811 2.188 6.808
In Pb S
2 1 1
direct
0.000 0.000 0.203
0.000 0.000 0.797
0.500 0.500 0.500
0.500 0.500 0.000
```

formation energy (no corrections): -0.07 eV per atom
calculated volume: 102.6 Å³ per cell
D(E_F): 1.736 states/eV per cell
total magnetization: 0.00 μB/f.u.
excess energy over the best structure of this formula in the dataset: 95 meV per atom

---

The following is a PBE calculation of crystalline In2PbS2 at its relaxed geometry, from Alexandria.

POSCAR file:
```
In2PbS2
1.0
-3.177 -1.106 -7.532
-4.873 -5.975 2.933
-2.746 2.619 0.774
In Pb S
4 2 4
direct
0.369 0.131 0.500
0.631 0.869 0.500
0.131 0.631 0.500
0.869 0.369 0.500
0.500 0.500 0.000
0.000 0.000 0.000
0.294 0.794 0.000
0.794 0.706 0.000
0.206 0.294 0.000
0.706 0.206 0.000
```

formation energy (no corrections): -0.19 eV per atom
calculated volume: 263.5 Å³ per cell
D(E_F): 7.084 states/eV per cell
total magnetization: 0.00 μB/f.u.
excess energy over the best structure of this formula in the dataset: 83 meV per atom

---

The following is a PBE calculation of crystalline In3PbS6 at its relaxed geometry, from Alexandria.

POSCAR file:
```
In3PbS6
1.0
3.839 0.000 0.000
0.000 12.755 -0.400
0.000 -4.688 10.081
S In Pb
12 6 2
direct
0.750 0.920 0.075
0.750 0.400 0.049
0.250 0.600 0.951
0.750 0.738 0.262
0.250 0.905 0.554
0.250 0.262 0.738
0.750 0.095 0.446
0.250 0.080 0.925
0.750 0.748 0.734
0.250 0.252 0.266
0.250 0.577 0.398
0.750 0.423 0.602
0.250 0.866 0.884
0.750 0.455 0.847
0.750 0.134 0.116
0.750 0.726 0.493
0.250 0.274 0.507
0.250 0.545 0.153
0.750 0.087 0.698
0.250 0.913 0.302
```

formation energy (no corrections): -0.42 eV per atom
calculated volume: 486.5 Å³ per cell
D(E_F): 9.631 states/eV per cell
total magnetization: 0.00 μB/f.u.

---

The following is a PBE calculation of crystalline InPbS2 at its relaxed geometry, from Alexandria.

POSCAR file:
```
InPbS2
1.0
-1.020 6.485 2.930
-6.136 -2.301 2.957
-1.370 0.817 6.534
Pb S In
2 4 2
direct
0.750 0.250 0.500
0.000 0.000 0.000
0.375 0.403 0.750
0.875 0.847 0.750
0.597 0.125 0.250
0.153 0.625 0.250
0.500 0.500 0.000
0.250 0.750 0.500
```

formation energy (no corrections): -0.32 eV per atom
calculated volume: 227.6 Å³ per cell
D(E_F): 4.146 states/eV per cell
total magnetization: 0.00 μB/f.u.

---

The following is a PBE calculation of crystalline In2PbS at its relaxed geometry, from Alexandria.

POSCAR file:
```
In2PbS
1.0
6.446 0.000 0.000
0.000 6.446 0.000
3.223 3.223 6.499
Pb S In
2 2 4
direct
0.000 0.000 0.000
0.750 0.250 0.500
0.250 0.750 0.500
0.500 0.500 0.000
0.875 0.847 0.750
0.375 0.403 0.750
0.597 0.125 0.250
0.153 0.625 0.250
```

formation energy (no corrections): -0.10 eV per atom
calculated volume: 270.0 Å³ per cell
D(E_F): 0.041 states/eV per cell
total magnetization: 0.00 μB/f.u.
excess energy over the best structure of this formula in the dataset: 62 meV per atom

---

The following is a PBE calculation of crystalline In3PbS3 at its relaxed geometry, from Alexandria.

POSCAR file:
```
In3PbS3
1.0
-3.170 5.352 -2.575
-6.686 -0.103 -0.783
-4.475 5.684 8.522
S In Pb
6 6 2
direct
0.562 0.210 0.342
0.114 0.438 0.658
0.886 0.562 0.342
0.210 0.886 0.342
0.790 0.114 0.658
0.438 0.790 0.658
0.267 0.583 0.226
0.925 0.267 0.226
0.733 0.417 0.774
0.583 0.925 0.226
0.417 0.075 0.774
0.075 0.733 0.774
0.333 0.333 0.000
0.667 0.667 0.000
```

formation energy (no corrections): -0.29 eV per atom
calculated volume: 411.4 Å³ per cell
D(E_F): 3.790 states/eV per cell
total magnetization: 0.00 μB/f.u.

---

The following is a PBE calculation of crystalline In2PbS2 at its relaxed geometry, from Alexandria.

POSCAR file:
```
In2PbS2
1.0
3.865 0.000 0.000
1.932 3.347 0.000
1.932 1.116 10.653
In S Pb
2 2 1
direct
0.412 0.412 0.765
0.588 0.588 0.235
0.216 0.216 0.352
0.784 0.784 0.648
0.000 0.000 0.000
```

formation energy (no corrections): -0.28 eV per atom
calculated volume: 137.8 Å³ per cell
D(E_F): 1.638 states/eV per cell
total magnetization: 0.00 μB/f.u.
excess energy over the best structure of this formula in the dataset: 0 meV per atom

---

The following is a PBE calculation of crystalline InPb3S4 at its relaxed geometry, from Alexandria.

POSCAR file:
```
InPb3S4
1.0
5.929 0.000 0.000
0.000 9.189 0.000
0.000 0.000 9.068
Pb S In
6 8 2
direct
0.064 0.138 0.500
0.064 0.660 0.234
0.064 0.660 0.766
0.564 0.340 0.266
0.564 0.340 0.734
0.564 0.862 0.000
0.564 0.668 0.247
0.064 0.332 0.747
0.564 0.114 0.500
0.064 0.886 0.000
0.064 0.332 0.253
0.064 0.811 0.500
0.564 0.189 0.000
0.564 0.668 0.753
0.565 0.821 0.500
0.065 0.179 0.000
```

formation energy (no corrections): -0.42 eV per atom
calculated volume: 494.1 Å³ per cell
D(E_F): 4.278 states/eV per cell
total magnetization: 0.00 μB/f.u.

---

The following is a PBE calculation of crystalline In2PbS2 at its relaxed geometry, from Alexandria.

POSCAR file:
```
In2PbS2
1.0
-3.141 -0.246 -2.604
1.279 -3.695 -1.193
-5.271 -5.263 3.647
S Pb In
2 1 2
direct
0.595 0.595 0.811
0.405 0.405 0.189
0.000 0.000 0.000
0.750 0.250 0.500
0.250 0.750 0.500
```

formation energy (no corrections): -0.02 eV per atom
calculated volume: 129.9 Å³ per cell
D(E_F): 2.616 states/eV per cell
total magnetization: 0.00 μB/f.u.
excess energy over the best structure of this formula in the dataset: 262 meV per atom

---

The following is a PBE calculation of crystalline InPbS2 at its relaxed geometry, from Alexandria.

POSCAR file:
```
InPbS2
1.0
4.409 0.000 0.000
0.000 7.208 0.424
0.000 0.386 6.706
Pb S In
2 4 2
direct
0.500 0.000 0.500
0.000 0.000 0.000
0.500 0.256 0.103
0.000 0.241 0.621
0.500 0.744 0.897
0.000 0.759 0.379
0.500 0.563 0.278
0.500 0.437 0.722
```

formation energy (no corrections): -0.39 eV per atom
calculated volume: 212.4 Å³ per cell
D(E_F): 0.522 states/eV per cell
total magnetization: 0.00 μB/f.u.